No. 1
TlAg3Sn3 after structural relaxation. Source: Alexandria via LeMat-Bulk, functional PBE-GGA.

a b c (Å): 7.710 7.710 7.710
angles (deg): 90.00 90.00 90.00
Space group Pm-3n (No. 223)
Unique sites:
Tl  0.000  0.000  0.000 [2 per cell]
Ag  0.000  0.250  0.500 [6 per cell]
Sn  0.000  0.500  0.250 [6 per cell]

D(E_F): 11.6 states/eV per cell

---

No. 2
Tl3Ag5Sn12 after structural relaxation. Source: Alexandria via LeMat-Bulk, functional PBE-GGA.

a b c (Å): 16.944 16.944 16.944
angles (deg): 90.00 90.00 90.00
Space group Ia-3d (No. 230)
Unique sites:
Tl  0.000  0.250  0.125 [24 per cell]
Ag  0.000  0.000  0.000 [16 per cell]
Ag  0.000  0.250  0.375 [24 per cell]
Sn  0.022  0.074  0.648 [96 per cell]

D(E_F): 85.8 states/eV per cell

---

| no. | energy of formation (eV per formula unit) |
| --- | --- |
| 1 | 2.5 |
| 2 | 4.5 |